Entry 1:
Entry from Alexandria via LeMat-Bulk: a relaxed structure of CaNiH2 (PBE).

It has space group C2/m (No. 12), with a = 4.961 Å, b = 4.956 Å, c = 3.485 Å, α = 90.00°, β = 90.13° and γ = 90.00°. The asymmetric unit holds Ca at (0.000, 0.000, 0.000), Ni at (0.000, 0.500, 0.500) and H at (0.250, 0.250, 0.500).

The total energy comes out at -4.014 eV per atom. The calculation puts the calculated density at 3.906 g/cm3. Its crystal system is monoclinic. As for the magnetic moment: 0.00 μB/cell. As for the density of states at the Fermi level: 2.885 states/eV per cell. As for the volume: 10.7 Å³/atom.

=====

Entry 2:
Entry from Alexandria via LeMat-Bulk: a relaxed structure of Sr3Sm5Au12 (PBE).

It has space group Ia-3d (No. 230), with a = 17.244 Å, b = 17.244 Å, c = 17.244 Å, α = 90.00°, β = 90.00° and γ = 90.00°. The asymmetric unit holds Sr at (0.000, 0.250, 0.125), Sm at (0.000, 0.000, 0.000), Sm at (0.000, 0.250, 0.375) and Au at (0.006, 0.075, 0.656).

The total energy comes out at -3.776 eV per atom. The calculation puts the calculated density at 8.753 g/cm3. Its crystal system is cubic. As for the magnetic moment: 0.00 μB/cell. As for the density of states at the Fermi level: 105.711 states/eV per cell. As for the volume: 32.0 Å³/atom.